Here is a relaxed structure of La2MoO6 from the Alexandria database. Energies are from GGA+U.

calculated volume = 15.81 Å³/atom
DOS at the Fermi energy = 0.000 states/eV/atom
size of the total moment = 0.00 μB per formula unit
VASP energy = -7.906 eV/atom

a = 6.1550 Å, b = 5.6710 Å, c = 9.5044 Å
α = 59.06°, β = 90.00°, γ = 90.00°
With the nearest neighbours (Å) after each atom.
Element x y z (fractional)
La1 0.4217 0.2021 0.7606  6 O 2.39-2.65
La2 0.9217 0.7979 0.7394  6 O 2.39-2.65
La3 0.5783 0.7979 0.2394  6 O 2.39-2.65
La4 0.0783 0.2021 0.2606  6 O 2.39-2.65
O1 0.3372 0.1718 0.0474  1 Mo 1.95
O2 0.2562 0.7353 0.4036  1 Mo 1.96
O3 0.6628 0.8282 0.9526  1 Mo 1.95
O4 0.2438 0.7353 0.9036  1 Mo 1.96
O5 0.0820 0.4400 0.7126  1 Mo 1.94
O6 0.9180 0.5600 0.2874  1 Mo 1.94
O7 0.7562 0.2647 0.0964  1 Mo 1.96
O8 0.7438 0.2647 0.5964  1 Mo 1.96
O9 0.5820 0.5600 0.7874  1 Mo 1.94
O10 0.1628 0.1718 0.5474  1 Mo 1.95
O11 0.8372 0.8282 0.4526  1 Mo 1.95
O12 0.4180 0.4400 0.2126  1 Mo 1.94
Mo1 0.5000 0.5000 0.0000  6 O 1.94-1.96
Mo2 0.0000 0.5000 0.5000  6 O 1.94-1.96